(1)
Pm2MgSe4 after structural relaxation. Source: the Alexandria database, functional GGA-PBEsol.

Summary:
raw formation energy = -1.63 eV per atom
crystal system = cubic
energy above the lowest structure with this stoichiometry = 25 kJ/mol of formula units

Lattice parameters (Å, degrees): 11.7680 11.7680 11.7680 90.00 90.00 90.00
Last column: nearest neighbours and their distance in Å.
Space group Fd-3m (No. 227, origin choice 2)
Inequivalent atoms, fractional coordinates:
Pm1 0.0000 0.0000 0.0000  6 Se 2.91
Mg1 0.1250 0.1250 0.6250  4 Se 2.61
Se1 0.0031 0.0031 0.2469  1 Mg 2.61, 3 Pm 2.91

(2)
CdMoI3 after structural relaxation. Source: the Alexandria database, functional GGA-PBEsol.

Summary:
raw formation energy = 0.31 eV per atom
crystal system = cubic

Lattice parameters (Å, degrees): 5.4947 5.4947 5.4947 90.00 90.00 90.00
Last column: nearest neighbours and their distance in Å.
Space group Pm-3m (No. 221)
Inequivalent atoms, fractional coordinates:
Cd1 0.0000 0.0000 0.0000  12 I 3.89
Mo1 0.5000 0.5000 0.5000  6 I 2.75
I1 0.0000 0.5000 0.5000  2 Mo 2.75

(3)
MnHW3 after structural relaxation. Source: the Alexandria database, functional GGA-PBEsol.

Summary:
crystal system = cubic
calculated total energy = -52.8 eV for the cell shown

Lattice parameters (Å, degrees): 3.9485 3.9485 3.9485 90.00 90.00 90.00
Last column: nearest neighbours and their distance in Å.
Space group Pm-3m (No. 221)
Inequivalent atoms, fractional coordinates:
Mn1 0.0000 0.0000 0.0000  12 W 2.79
H1 0.5000 0.5000 0.5000  6 W 1.97
W1 0.0000 0.5000 0.5000  2 H 1.97

(4)
Zn2CuTcO after structural relaxation. Source: the Alexandria database, functional GGA-PBEsol.

Summary:
raw formation energy = 0.27 eV per atom
crystal system = tetragonal

Lattice parameters (Å, degrees): 4.1159 4.1159 3.7290 90.00 90.00 90.00
Last column: nearest neighbours and their distance in Å.
Space group P4/mmm (No. 123)
Inequivalent atoms, fractional coordinates:
Zn1 0.0000 0.5000 0.0000  2 O 2.06
Cu1 0.0000 0.0000 0.5000  2 O 1.86
Tc1 0.5000 0.5000 0.5000  8 Zn 2.78, 4 Cu 2.91
O1 0.0000 0.0000 0.0000  2 Cu 1.86, 4 Zn 2.06

(5)
Re2Os after structural relaxation. Source: the Alexandria database, functional GGA-PBEsol.

Summary:
crystal system = tetragonal
ΔH_f (0 K) = 116 kJ per mole of atoms
energy above the lowest structure with this stoichiometry = 368 kJ/mol of formula units

Lattice parameters (Å, degrees): 4.3829 4.3829 2.7144 90.00 90.00 90.00
Last column: nearest neighbours and their distance in Å.
Space group P4/mmm (No. 123)
Inequivalent atoms, fractional coordinates:
Re1 0.0000 0.5000 0.0000  4 Os 2.58, 2 Re 2.71
Os1 0.0000 0.0000 0.5000  8 Re 2.58, 2 Os 2.71

(6)
Pr3Hf after structural relaxation. Source: the Alexandria database, functional GGA-PBEsol.

Summary:
crystal system = tetragonal
ΔH_f (0 K) = 19 kJ per mole of atoms

Lattice parameters (Å, degrees): 4.9165 4.9165 9.8278 90.00 90.00 90.00
Last column: nearest neighbours and their distance in Å.
Space group I4/mmm (No. 139)
Inequivalent atoms, fractional coordinates:
Pr1 0.0000 0.0000 0.0000  8 Pr 3.48, 4 Hf 3.48
Pr2 0.0000 0.5000 0.2500  4 Hf 3.48, 8 Pr 3.48
Hf1 0.0000 0.0000 0.5000  12 Pr 3.48

(7)
Li2FeWO6 after structural relaxation. Source: the Alexandria database, functional GGA-PBEsol.

Summary:
raw formation energy = -1.87 eV per atom
crystal system = trigonal

Lattice parameters (Å, degrees): 4.9766 4.9766 12.9823 90.00 90.00 120.00
Last column: nearest neighbours and their distance in Å.
Space group R3 (No. 146, hexagonal axes)
Inequivalent atoms, fractional coordinates:
Li1 0.0000 0.0000 0.0000  3 O 1.99
Li2 0.0000 0.0000 0.4990  3 O 1.98
Fe1 0.0000 0.0000 0.2162  6 O 1.84-1.87
W1 0.0000 0.0000 0.7167  6 O 1.90-1.93
O1 0.0031 0.6138 0.9615  1 Fe 1.84, 1 W 1.93, 1 Li 1.99
O2 0.0589 0.3446 0.7968  1 Fe 1.87, 1 W 1.90, 1 Li 1.98

(8)
LiCa2Rh2 after structural relaxation. Source: the Alexandria database, functional GGA-PBEsol.

Summary:
crystal system = tetragonal
ΔH_f (0 K) = -14 kJ per mole of atoms

Lattice parameters (Å, degrees): 6.8719 6.8719 4.1976 90.00 90.00 90.00
Last column: nearest neighbours and their distance in Å.
Space group P4/mbm (No. 127)
Inequivalent atoms, fractional coordinates:
Li1 0.0000 0.0000 0.0000  4 Rh 2.68
Ca1 0.1707 0.3293 0.5000  6 Rh 2.84-2.97
Rh1 0.1331 0.6331 0.0000  1 Rh 2.59, 2 Li 2.68, 2 Ca 2.84

(9)
K2Nb3Cl9 after structural relaxation. Source: the Alexandria database, functional GGA-PBEsol.

Summary:
raw formation energy = -1.50 eV per atom
crystal system = monoclinic

Lattice parameters (Å, degrees): 10.0224 16.5702 9.5168 90.00 115.08 90.00
Last column: nearest neighbours and their distance in Å.
Space group C2/m (No. 12)
Inequivalent atoms, fractional coordinates:
K1 0.1067 0.1613 0.3241  5 Cl 3.01-3.34
Nb1 0.1227 0.5000 0.8714  5 Cl 2.45-2.56
Nb2 0.1350 0.4122 0.1430  5 Cl 2.45-2.60
Cl1 0.0000 0.2922 0.0000  2 Nb 2.46
Cl2 0.0155 0.3964 0.3184  2 Nb 2.45
Cl3 0.1794 0.0000 0.6644  2 Nb 2.46
Cl4 0.1943 0.1979 0.6740  1 Nb 2.60
Cl5 0.1970 0.1046 0.9831  2 Nb 2.46
Cl6 0.2246 0.0000 0.2863  1 Nb 2.56

(10)
FeNiPt2 after structural relaxation. Source: the Alexandria database, functional GGA-PBEsol.

Summary:
crystal system = tetragonal
ΔH_f (0 K) = -13 kJ per mole of atoms

Lattice parameters (Å, degrees): 3.7207 3.7207 7.6107 90.00 90.00 90.00
Last column: nearest neighbours and their distance in Å.
Space group I-4m2 (No. 119)
Inequivalent atoms, fractional coordinates:
Fe1 0.0000 0.0000 0.0000  8 Pt 2.63-2.66, 4 Ni 2.66
Ni1 0.0000 0.5000 0.7500  8 Pt 2.63-2.66, 4 Fe 2.66
Pt1 0.0000 0.0000 0.5000  4 Fe 2.63, 4 Ni 2.66, 4 Pt 2.66
Pt2 0.0000 0.5000 0.2500  4 Ni 2.63, 4 Fe 2.66, 4 Pt 2.66

(11)
K5V3O10 after structural relaxation. Source: the Alexandria database, functional GGA-PBEsol.

Summary:
raw formation energy = -2.30 eV per atom
crystal system = tetragonal

Lattice parameters (Å, degrees): 8.1302 8.1302 18.7049 90.00 90.00 90.00
Last column: nearest neighbours and their distance in Å.
Space group P4_12_12 (No. 92)
Inequivalent atoms, fractional coordinates:
K1 0.0021 0.0276 0.1401  5 O 2.62-2.92
K2 0.0119 0.5223 0.8838  5 O 2.71-3.02
K3 0.2361 0.7639 0.2500  6 O 2.66-2.73
V1 0.1903 0.1903 0.5000  4 O 1.66-1.77
V2 0.2287 0.7634 0.4826  4 O 1.68-1.83
O1 0.0235 0.7809 0.9858  2 V 1.77-1.83
O2 0.0604 0.6621 0.5112  1 V 1.68
O3 0.0945 0.1826 0.7372  1 V 1.68
O4 0.2152 0.7549 0.8233  1 V 1.66
O5 0.2318 0.7608 0.3921  1 V 1.69

(12)
MnTcSb after structural relaxation. Source: the Alexandria database, functional GGA-PBEsol.

Summary:
raw formation energy = 0.36 eV per atom
crystal system = cubic

Lattice parameters (Å, degrees): 5.9719 5.9719 5.9719 90.00 90.00 90.00
Last column: nearest neighbours and their distance in Å.
Space group F-43m (No. 216)
Inequivalent atoms, fractional coordinates:
Mn1 0.0000 0.0000 0.0000  4 Tc 2.59
Tc1 0.2500 0.2500 0.2500  4 Mn 2.59, 4 Sb 2.59
Sb1 0.0000 0.0000 0.5000  4 Tc 2.59